# PBE-GGA YZnRh, optimized geometry
# Magnetization   0.00 μB/f.u.
# Theoretical density   6.54 Mg/m³
# ΔH_f (0 K)   -504 meV/atom
data_YZnRh
_cell_length_a 6.3913
_cell_length_b 6.3913
_cell_length_c 6.3913
_cell_angle_alpha 90.00
_cell_angle_beta 90.00
_cell_angle_gamma 90.00
_symmetry_space_group_name_H-M 'F -4 3 m'
_symmetry_Int_Tables_number 216
_symmetry_space_group_name_Hall 'F -4 2 3'
loop_
_atom_site_label
_atom_site_fract_x
_atom_site_fract_y
_atom_site_fract_z
Y1 0.0000 0.0000 0.0000
Zn1 0.0000 0.0000 0.5000
Rh1 0.2500 0.2500 0.7500